Below is CaZrP after structural relaxation, with properties calculated at the PBE level.

The structure in CIF format:
```
data_CaZrP
_chemical_formula_sum 'Ca2 Zr2 P2'
_cell_length_a 3.784
_cell_length_b 3.784
_cell_length_c 12.409
_cell_angle_alpha 90.00
_cell_angle_beta 90.00
_cell_angle_gamma 120.00
_symmetry_space_group_name_H-M 'P 1'
_symmetry_Int_Tables_number 1
loop_
_symmetry_equiv_pos_as_xyz
'x,y,z'
loop_
_atom_site_label
_atom_site_type_symbol
_atom_site_fract_x
_atom_site_fract_y
_atom_site_fract_z
Ca1 Ca 0.000 0.000 0.000
Ca2 Ca 0.333 0.667 0.284
Zr1 Zr 0.333 0.667 0.741
Zr2 Zr 0.667 0.333 0.510
P1 P 0.000 0.000 0.618
P2 P 0.667 0.333 0.864
```

Calculated values
raw total energy	-18.55	eV per formula unit
formation energy from the elements	-0.863	eV per atom
crystal system	trigonal